# 1
DFT (PBE) results for ScNb2Ge after structural relaxation.

## Properties
* total magnetic moment: 0.000 μB per atom
* E_form: 160 meV/atom
* uncorrected energy: -7.61 eV/atom
* crystal system: tetragonal
* space-group type: No. 122

Lattice parameters (Å, degrees): 6.0926 6.0926 6.0926 100.98 100.98 128.25
Element x y z (fractional)
1 Sc 0.0000 0.0000 0.0000
2 Sc 0.7500 0.2500 0.5000
3 Nb 0.1692 0.6250 0.0442
4 Nb 0.3750 0.4192 0.5442
5 Nb 0.5808 0.1250 0.9558
6 Nb 0.8750 0.8308 0.4558
7 Ge 0.2500 0.7500 0.5000
8 Ge 0.5000 0.5000 0.0000

***

# 2
DFT (PBE) results for La2Cu4Sn3Ge after structural relaxation.

## Properties
* total magnetic moment: 0.000 μB per atom
* E_form: -467 meV/atom
* uncorrected energy: -4.75 eV/atom
* crystal system: tetragonal
* space-group type: No. 115

Lattice parameters (Å, degrees): 4.4701 4.4701 10.5509 90.00 90.00 90.00
Element x y z (fractional)
1 La 0.0000 0.5000 0.2500
2 La 0.5000 0.0000 0.7500
3 Cu 0.0000 0.0000 0.0000
4 Cu 0.0000 0.5000 0.6255
5 Cu 0.5000 0.0000 0.3745
6 Cu 0.5000 0.5000 0.0000
7 Sn 0.0000 0.5000 0.8691
8 Sn 0.5000 0.0000 0.1309
9 Sn 0.5000 0.5000 0.5000
10 Ge 0.0000 0.0000 0.5000